Compound: Be2CdSnOs
Source: the Alexandria database
Functional: PBE-GGA
Structure: relaxed

- ΔE_f: 0.550 eV per atom
- M_tot: 0.0 μB/f.u.
- Uncorrected energy: -20.8 eV per cell

```
5
Lattice="4.424 0.000 0.000 0.000 5.044 0.000 0.000 0.000 4.424" Properties=species:S:1:pos:R:3 pbc="T T T"
Be 0.000 0.000 2.212
Be 2.212 0.000 0.000
Os 0.000 0.000 0.000
Sn 0.000 2.522 0.000
Cd 2.212 2.522 2.212
```